Record 1
# SrPrHo

A geometry-optimized SrPrHo structure (PBE, OQMD via LeMat-Bulk).

DFT total energy: -2.9126 eV per atom
Space group: F-43m
Polymorph energy (0 for the lowest one): 0 meV/atom
Calculated volume: 45.93 Å³ per atom

Cell: 5.7977 5.7977 5.7977 Å, 60.00 60.00 60.00°
Element x y z (fractional)
Ho: 0.0000 0.0000 0.0000
Pr: 0.2500 0.2500 0.2500
Sr: 0.7500 0.7500 0.7500

***

Record 2
# Tb2Pr3Ho

A geometry-optimized Tb2Pr3Ho structure (PBE, OQMD via LeMat-Bulk).

DFT total energy: -4.6977 eV per atom
Space group: Cmcm
Energy of formation: -0.004 eV/atom
Calculated volume: 33.45 Å³ per atom

Cell: 6.3072 6.3072 11.6521 Å, 90.00 90.00 59.98°
Element x y z (fractional)
Ho: 0.1664 0.8336 0.2197
Ho: 0.8336 0.1664 0.7197
Pr: 0.4996 0.5004 0.4697
Pr: 0.1658 0.1667 0.4697
Pr: 0.8333 0.8342 0.4697
Pr: 0.5004 0.4996 0.9697
Pr: 0.1667 0.1658 0.9697
Pr: 0.8342 0.8333 0.9697
Tb: 0.4994 0.1671 0.2196
Tb: 0.8329 0.5006 0.2196
Tb: 0.1671 0.4994 0.7196
Tb: 0.5006 0.8329 0.7196

***

Record 3
# PrHoTe

A geometry-optimized PrHoTe structure (PBE, OQMD via LeMat-Bulk).

DFT total energy: -4.7221 eV per atom
Space group: F-43m
Calculated volume: 32.28 Å³ per atom

Cell: 5.1544 5.1544 5.1544 Å, 60.00 60.00 60.00°
Element x y z (fractional)
Ho: 0.2500 0.2500 0.2500
Pr: 0.7500 0.7500 0.7500
Te: 0.0000 0.0000 0.0000

***

Record 4
# PrHoTlTe3

A geometry-optimized PrHoTlTe3 structure (PBE, OQMD via LeMat-Bulk).

DFT total energy: -4.5097 eV per atom
Space group: Cmcm
Polymorph energy (0 for the lowest one): 0 meV/atom
Calculated volume: 36.36 Å³ per atom

Cell: 8.0456 8.0456 12.3419 Å, 90.00 90.00 146.90°
Element x y z (fractional)
Ho: 0.0537 0.9463 0.2500
Ho: 0.9463 0.0537 0.7500
Pr: 0.5000 0.5000 0.0000
Pr: 0.5000 0.5000 0.5000
Te: 0.1453 0.8547 0.0426
Te: 0.4309 0.5691 0.2500
Te: 0.1453 0.8547 0.4574
Te: 0.8547 0.1453 0.5426
Te: 0.5691 0.4309 0.7500
Te: 0.8547 0.1453 0.9574
Tl: 0.7523 0.2477 0.2500
Tl: 0.2477 0.7523 0.7500

***

Record 5
# PrHoTlTe3

A geometry-optimized PrHoTlTe3 structure (PBE, OQMD via LeMat-Bulk).

DFT total energy: -4.4700 eV per atom
Space group: Cmcm
Polymorph energy (0 for the lowest one): 40 meV/atom
Calculated volume: 34.65 Å³ per atom

Cell: 7.9950 7.9950 12.2127 Å, 90.00 90.00 147.82°
Element x y z (fractional)
Ho: 0.0000 0.0000 0.0000
Ho: 0.0000 0.0000 0.5000
Pr: 0.4233 0.5767 0.2500
Pr: 0.5767 0.4233 0.7500
Te: 0.3579 0.6421 0.0157
Te: 0.0643 0.9357 0.2500
Te: 0.3579 0.6421 0.4843
Te: 0.6421 0.3579 0.5157
Te: 0.9357 0.0643 0.7500
Te: 0.6421 0.3579 0.9843
Tl: 0.7351 0.2649 0.2500
Tl: 0.2649 0.7351 0.7500

***

Record 6
# PrHoZnTe3

A geometry-optimized PrHoZnTe3 structure (PBE, OQMD via LeMat-Bulk).

DFT total energy: -4.3265 eV per atom
Space group: Cmcm
Calculated volume: 28.45 Å³ per atom

Cell: 7.8798 7.8798 10.6408 Å, 90.00 90.00 148.89°
Element x y z (fractional)
Ho: 0.0000 0.0000 0.0000
Ho: 0.0000 0.0000 0.5000
Pr: 0.7751 0.2249 0.2500
Pr: 0.2249 0.7751 0.7500
Te: 0.3521 0.6479 0.0455
Te: 0.1105 0.8895 0.2500
Te: 0.3521 0.6479 0.4545
Te: 0.6479 0.3521 0.5455
Te: 0.8895 0.1105 0.7500
Te: 0.6479 0.3521 0.9545
Zn: 0.4753 0.5247 0.2500
Zn: 0.5247 0.4753 0.7500